# 1
An optimized crystal structure of LaBe. Source: Alexandria, functional PBEsol.

Computed properties:
energy relative to the lowest polymorph listed for this composition	172.0	meV per atom
SG	P-6m2

Cell lengths 3.516, 3.516, 4.433 Å; angles 90.00, 90.00, 120.00 degrees
Fractional coordinates of all 2 atoms:
La1 0.000 0.000 0.000
Be1 0.667 0.333 0.500

# 2
An optimized crystal structure of ZnIBr2. Source: Alexandria, functional PBEsol.

Computed properties:
formation energy from raw total energies	-141	meV/atom
SG	R-3m

Cell lengths 11.391, 11.391, 11.391 Å; angles 18.67, 18.67, 18.67 degrees
Fractional coordinates of all 4 atoms:
Zn1 0.000 0.000 0.000
I1 0.500 0.500 0.500
Br1 0.065 0.065 0.065
Br2 0.935 0.935 0.935

# 3
An optimized crystal structure of NaCu2Si2. Source: Alexandria, functional PBEsol.

Computed properties:
energy relative to the lowest polymorph listed for this composition	0.0	meV per atom
formation energy from raw total energies	-42	meV/atom
SG	I4/mmm

Cell lengths 5.627, 5.627, 5.627 Å; angles 138.43, 138.43, 60.24 degrees
Fractional coordinates of all 5 atoms:
Na1 0.000 0.000 0.000
Cu1 0.250 0.750 0.500
Cu2 0.750 0.250 0.500
Si1 0.379 0.379 0.000
Si2 0.621 0.621 0.000

# 4
An optimized crystal structure of AlCo2W. Source: Alexandria, functional PBEsol.

Computed properties:
uncorrected energy	-33.8	eV/cell
SG	I-4m2

Cell lengths 4.618, 4.618, 4.618 Å; angles 134.83, 134.83, 65.79 degrees
Fractional coordinates of all 4 atoms:
Al1 0.000 0.000 0.000
Co1 0.500 0.500 0.000
Co2 0.750 0.250 0.500
W1 0.250 0.750 0.500

# 5
An optimized crystal structure of Mo2IrRh. Source: Alexandria, functional PBEsol.

Computed properties:
energy relative to the lowest polymorph listed for this composition	0.0	meV per atom
SG	Pmm2

Cell lengths 2.731, 4.401, 4.775 Å; angles 90.00, 90.00, 90.00 degrees
Fractional coordinates of all 4 atoms:
Mo1 0.000 0.000 0.000
Mo2 0.000 0.500 0.343
Ir1 0.500 0.000 0.499
Rh1 0.500 0.500 0.848

# 6
An optimized crystal structure of TaReRu2. Source: Alexandria, functional PBEsol.

Computed properties:
energy relative to the lowest polymorph listed for this composition	92.2	meV per atom
SG	Imm2

Cell lengths 5.174, 5.174, 5.174 Å; angles 145.38, 129.94, 62.29 degrees
Fractional coordinates of all 4 atoms:
Ta1 0.000 0.000 0.000
Re1 0.763 0.263 0.500
Ru1 0.234 0.734 0.500
Ru2 0.510 0.510 0.000

# 7
An optimized crystal structure of LaCrCl. Source: Alexandria, functional PBEsol.

Computed properties:
formation energy from raw total energies	-127	meV/atom
SG	P3m1

Cell lengths 3.472, 3.472, 6.858 Å; angles 90.00, 90.00, 120.00 degrees
Fractional coordinates of all 3 atoms:
La1 0.000 0.000 0.000
Cr1 0.667 0.333 0.370
Cl1 0.333 0.667 0.677

# 8
An optimized crystal structure of Sc4Cd. Source: Alexandria, functional PBEsol.

Computed properties:
uncorrected energy	-27.9	eV/cell
SG	I4/m

Cell lengths 5.458, 5.458, 5.458 Å; angles 100.09, 100.09, 130.51 degrees
Fractional coordinates of all 5 atoms:
Sc1 0.109 0.308 0.417
Sc2 0.308 0.891 0.199
Sc3 0.692 0.109 0.801
Sc4 0.891 0.692 0.583
Cd1 0.500 0.500 0.000

# 9
An optimized crystal structure of CaMg3Zn. Source: Alexandria, functional PBEsol.

Computed properties:
energy relative to the lowest polymorph listed for this composition	0.0	meV per atom
SG	I4mm

Cell lengths 7.229, 7.229, 7.229 Å; angles 145.18, 145.18, 50.06 degrees
Fractional coordinates of all 5 atoms:
Ca1 0.000 0.000 0.000
Mg1 0.218 0.718 0.500
Mg2 0.382 0.382 0.000
Mg3 0.718 0.218 0.500
Zn1 0.584 0.584 0.000

# 10
An optimized crystal structure of YZn2Ir. Source: Alexandria, functional PBEsol.

Computed properties:
uncorrected energy	-21.1	eV/cell
SG	P4mm

Cell lengths 3.223, 3.223, 6.640 Å; angles 90.00, 90.00, 90.00 degrees
Fractional coordinates of all 4 atoms:
Y1 0.000 0.000 0.000
Zn1 0.000 0.000 0.534
Zn2 0.500 0.500 0.328
Ir1 0.500 0.500 0.735

# 11
An optimized crystal structure of LiMgSi2. Source: Alexandria, functional PBEsol.

Computed properties:
formation energy from raw total energies	-28	meV/atom
SG	Imm2

Cell lengths 5.177, 5.177, 5.177 Å; angles 138.74, 133.18, 64.16 degrees
Fractional coordinates of all 4 atoms:
Li1 0.000 0.000 0.000
Mg1 0.265 0.765 0.500
Si1 0.528 0.528 0.000
Si2 0.713 0.213 0.500

# 12
An optimized crystal structure of Be2SbOs. Source: Alexandria, functional PBEsol.

Computed properties:
formation energy from raw total energies	342	meV/atom
SG	I-4m2

Cell lengths 4.625, 4.625, 4.625 Å; angles 132.57, 132.57, 69.33 degrees
Fractional coordinates of all 4 atoms:
Be1 0.000 0.000 0.000
Be2 0.750 0.250 0.500
Sb1 0.250 0.750 0.500
Os1 0.500 0.500 0.000

# 13
An optimized crystal structure of LiTi2BeAl. Source: Alexandria, functional PBEsol.

Computed properties:
uncorrected energy	-24.8	eV/cell
SG	P4/mmm

Cell lengths 4.416, 4.416, 4.241 Å; angles 90.00, 90.00, 90.00 degrees
Fractional coordinates of all 5 atoms:
Li1 0.000 0.000 0.000
Ti1 0.000 0.500 0.500
Ti2 0.500 0.000 0.500
Be1 0.500 0.500 0.500
Al1 0.500 0.500 0.000

# 14
An optimized crystal structure of Ta2OsRu. Source: Alexandria, functional PBEsol.

Computed properties:
energy relative to the lowest polymorph listed for this composition	21.3	meV per atom
SG	I4/mmm

Cell lengths 4.418, 4.418, 4.418 Å; angles 118.33, 118.33, 92.93 degrees
Fractional coordinates of all 4 atoms:
Ta1 0.250 0.750 0.500
Ta2 0.750 0.250 0.500
Os1 0.000 0.000 0.000
Ru1 0.500 0.500 0.000